(1)
Sc2V2O7 | Alexandria via LeMat-Bulk | SCAN | single point on PBEsol structure; uncorrected formation energy = -310 kJ/mol of atoms; ΔE to the lowest computed polymorph = 0 meV per atom; V = 12.61 A^3/atom
1.0
3.1101 -4.4510 0.0000
3.1101 4.4510 0.0000
-0.8638 0.0000 5.0088
Sc V O
2 2 7
Cartesian
3.1101 2.7925 0.0000
3.1101 -2.7925 0.0000
1.0104 0.0000 3.0291
4.3461 0.0000 1.9797
0.2119 0.0000 1.3539
1.0151 1.5149 3.9977
1.0151 -1.5149 3.9977
2.6782 0.0000 2.5044
4.3413 1.5149 1.0111
4.3413 -1.5149 1.0111
5.1445 0.0000 3.6549

***

(2)
BaHPt2 | Alexandria via LeMat-Bulk | SCAN | single point on PBEsol structure; ΔE to the lowest computed polymorph = 1373 meV per atom; V = 19.17 A^3/atom
1.0
6.7438 0.0000 0.0000
0.0000 6.7438 0.0000
0.0000 0.0000 6.7438
Ba H Pt
4 4 8
Cartesian
0.0000 0.0000 0.0000
0.0000 3.3719 3.3719
3.3719 0.0000 3.3719
3.3719 3.3719 0.0000
0.0000 0.0000 3.3719
0.0000 3.3719 0.0000
3.3719 0.0000 0.0000
3.3719 3.3719 3.3719
1.6860 1.6860 1.6860
1.6860 1.6860 5.0579
1.6860 5.0579 1.6860
1.6860 5.0579 5.0579
5.0579 1.6860 1.6860
5.0579 1.6860 5.0579
5.0579 5.0579 1.6860
5.0579 5.0579 5.0579

***

(3)
ZnCoAs2 | Alexandria via LeMat-Bulk | SCAN | single point on PBEsol structure; formation energy = 180 meV per atom; V = 15.54 A^3/atom
1.0
2.8350 0.0000 0.0000
-1.4175 2.4552 0.0000
0.0000 0.0000 26.7906
Zn Co As
3 3 6
Cartesian
0.0000 0.0000 0.0000
0.0000 1.6368 17.8604
1.4175 0.8184 8.9302
0.0000 0.0000 19.7792
0.0000 1.6368 10.8490
1.4175 0.8184 1.9188
0.0000 0.0000 6.6454
0.0000 0.0000 12.5317
0.0000 1.6368 3.6014
0.0000 1.6368 24.5058
1.4175 0.8184 15.5756
1.4175 0.8184 21.4618

***

Quick rundown of M_tot, same order as above: 2.0, 0.0, 2.7 μB/cell